Entry from Alexandria via LeMat-Bulk: an optimized crystal structure of Cs2Tl2In (PBE).

Lattice parameters (Å, degrees): 5.0207 8.2952 11.8867 90.00 90.00 90.00
Closest atoms and distances in Å follow each position.
Space group Immm (No. 71)
Symmetry-distinct sites (fractional):
1 Cs 0.0000 0.0000 0.1780 (multiplicity 4)  6 Tl 4.10-4.19, 1 Cs 4.23, 2 In 4.58
2 Tl 0.0000 0.2049 0.5000 (multiplicity 4)  2 In 3.03
3 In 0.0000 0.5000 0.0000 (multiplicity 2)  4 Tl 3.03

Values from the calculation:
As for the energy above the most stable polymorph in this dataset: 0.0 meV/atom. The calculation puts the density of states at the Fermi level at 5.76 states/eV per cell. Its total energy is -1.9413 eV/atom.

---

Entry from Alexandria via LeMat-Bulk: an optimized crystal structure of CsTl2In (PBE).

Lattice parameters (Å, degrees): 8.5876 5.0427 14.6862 90.00 90.00 90.00
Closest atoms and distances in Å follow each position.
Space group Pnma (No. 62)
Symmetry-distinct sites (fractional):
1 Cs 0.2501 0.2500 0.1998 (multiplicity 4)  7 Tl 3.94-4.23, 4 In 3.98-4.28
2 Tl 0.0565 0.2500 0.9015 (multiplicity 4)  3 Tl 3.25, 1 In 3.31
3 Tl 0.2416 0.2500 0.4755 (multiplicity 4)  3 In 3.10-3.14, 3 Tl 3.25
4 In 0.0586 0.7500 0.4071 (multiplicity 4)  4 Tl 3.10-3.31

Values from the calculation:
As for the energy above the most stable polymorph in this dataset: 31.2 meV/atom. The calculation puts the density of states at the Fermi level at 9.13 states/eV per cell. Its total energy is -2.1533 eV/atom.

---

Entry from Alexandria via LeMat-Bulk: an optimized crystal structure of Cs4Tl5In (PBE).

Lattice parameters (Å, degrees): 11.6912 11.6912 7.4136 90.00 90.00 90.00
Closest atoms and distances in Å follow each position.
Space group I4 (No. 79)
Symmetry-distinct sites (fractional):
1 Cs 0.0858 0.3053 0.0000 (multiplicity 8)  5 Tl 3.96-4.08, 1 In 4.02
2 Tl 0.0000 0.0000 0.8027 (multiplicity 2)  1 In 3.03, 4 Tl 3.22
3 Tl 0.0680 0.1851 0.4986 (multiplicity 8)  1 In 3.14, 3 Tl 3.22-3.26
4 In 0.0000 0.0000 0.2112 (multiplicity 2)  5 Tl 3.03-3.14

Values from the calculation:
The calculation puts the density of states at the Fermi level at 23.11 states/eV per cell. Its total energy is -1.8833 eV/atom.

---

Entry from Alexandria via LeMat-Bulk: an optimized crystal structure of Cs2Tl4In3 (PBE).

Lattice parameters (Å, degrees): 6.8201 11.9283 16.3302 90.00 90.00 90.00
Closest atoms and distances in Å follow each position.
Space group Fmmm (No. 69)
Symmetry-distinct sites (fractional):
1 Cs 0.0000 0.0000 0.1383 (multiplicity 8)  8 Tl 3.88-4.02, 6 In 4.09-4.11
2 Tl 0.0000 0.1761 0.3436 (multiplicity 16)  3 In 3.19-3.31, 1 Tl 3.53
3 In 0.0000 0.0000 0.5000 (multiplicity 4)  4 Tl 3.31, 4 In 3.44
4 In 0.2500 0.2500 0.0000 (multiplicity 8)  4 Tl 3.19, 4 In 3.41-3.44

Values from the calculation:
The calculation puts the density of states at the Fermi level at 20.41 states/eV per cell. Its total energy is -2.2107 eV/atom.

---

Entry from Alexandria via LeMat-Bulk: an optimized crystal structure of Cs4Tl2In3 (PBE).

Lattice parameters (Å, degrees): 19.8092 5.0275 9.1477 90.00 104.40 90.00
Closest atoms and distances in Å follow each position.
Space group C2/m (No. 12)
Symmetry-distinct sites (fractional):
1 Cs 0.0799 0.0000 0.3955 (multiplicity 4)  2 Tl 3.96-4.17, 6 In 4.02-4.37, 2 Cs 4.09-4.42
2 Cs 0.2423 0.5000 0.2020 (multiplicity 4)  3 Tl 3.94-4.04, 2 In 4.24
3 Tl 0.0942 0.0000 0.9708 (multiplicity 4)  4 In 3.18-3.20
4 In 0.0000 0.5000 0.0000 (multiplicity 2)  2 In 3.11, 4 Tl 3.18
5 In 0.0810 0.5000 0.7496 (multiplicity 4)  1 In 3.11, 2 Tl 3.20

Values from the calculation:
The calculation puts the density of states at the Fermi level at 13.65 states/eV per cell. Its total energy is -1.8873 eV/atom.

---

Entry from Alexandria via LeMat-Bulk: an optimized crystal structure of CsTl9In2 (PBE).

Lattice parameters (Å, degrees): 11.2973 11.2973 3.5280 90.00 90.00 120.00
Closest atoms and distances in Å follow each position.
Space group P6/mmm (No. 191)
Symmetry-distinct sites (fractional):
1 Cs 0.0000 0.0000 0.0000 (multiplicity 1)  2 Cs 3.53
2 Tl 0.0000 0.5000 0.0000 (multiplicity 3)  2 In 3.26, 10 Tl 3.53-3.55
3 Tl 0.1868 0.3736 0.5000 (multiplicity 6)  2 In 3.37, 8 Tl 3.53-3.66
4 In 0.3333 0.6667 0.0000 (multiplicity 2)  9 Tl 3.26-3.37, 2 In 3.53

Values from the calculation:
The calculation puts the density of states at the Fermi level at 5.87 states/eV per cell. Its total energy is -2.3198 eV/atom.